Computed, not measured: crystalline TeIrOs2 at its relaxed geometry at the PBE level of DFT.

Calculated values
- symmetry = Pmmm (47)
- E_form (uncorrected) (eV per atom) = 0.865

POSCAR file:
```
TeIrOs2
1.0
2.8626 0.0000 0.0000
0.0000 4.7665 0.0000
0.0000 0.0000 4.8083
Te Ir Os
1 1 2
direct
0.0000 0.0000 0.0000
0.5000 0.5000 0.0000
0.0000 0.5000 0.5000
0.5000 0.0000 0.5000
```